1.
Density functional theory data (PBE-GGA) for Pu2H2Rh after structural relaxation.

Lattice parameters (Å, degrees): 5.3419 5.3832 6.3473 81.54 65.63 61.79
Last column: nearest neighbours and their distance in Å.
Atoms (fractional coordinates):
H: 0.3463 0.8805 0.4883  2 Rh 1.87-1.94
H: 0.6537 0.1195 0.5117  2 Rh 1.87-1.94
H: 0.8968 0.2544 0.9177  1 Rh 1.74
H: 0.1032 0.7456 0.0823  1 Rh 1.74
Rh: 0.2480 0.1809 0.6882  3 H 1.74-1.94
Rh: 0.7520 0.8191 0.3118  3 H 1.74-1.94
Pu: 0.4307 0.4784 0.2727  4 H 2.33-2.49
Pu: 0.1325 0.1564 0.1928  4 H 2.41-2.60
Pu: 0.8675 0.8436 0.8072  4 H 2.41-2.60
Pu: 0.5693 0.5216 0.7273  4 H 2.33-2.49

Computed properties:
Energy ... -8.78 eV per atom
Magnetic moment ... 11.552 μB per formula unit
Excess energy over the best structure of this formula in the dataset ... 51 meV per atom


2.
Density functional theory data (PBE-GGA) for Pu3HRh2 after structural relaxation.

Lattice parameters (Å, degrees): 6.8688 6.5373 6.5103 80.71 72.10 58.31
Last column: nearest neighbours and their distance in Å.
Atoms (fractional coordinates):
Rh: 0.1352 0.7296 0.5000  6 Pu 2.81-2.84, 1 Rh 3.01
Rh: 0.5000 0.0000 0.5000  6 Pu 2.71-2.84
Rh: 0.8648 0.2704 0.5000  6 Pu 2.81-2.84, 1 Rh 3.01
Rh: 0.0000 0.0000 0.0000  6 Pu 2.76-2.81
H: 0.3289 0.3421 0.0000  6 Pu 2.46-2.65
H: 0.6711 0.6579 0.0000  6 Pu 2.46-2.65
Pu: 0.9291 0.6360 0.2422  2 H 2.55-2.65, 4 Rh 2.81-2.84
Pu: 0.3024 0.0000 0.1989  2 H 2.46, 1 Rh 2.71
Pu: 0.4349 0.6360 0.7578  2 H 2.55-2.65, 4 Rh 2.81-2.84
Pu: 0.0709 0.3640 0.7578  2 H 2.55-2.65, 4 Rh 2.81-2.84
Pu: 0.6976 0.0000 0.8011  2 H 2.46, 1 Rh 2.71
Pu: 0.5651 0.3640 0.2422  2 H 2.55-2.65, 4 Rh 2.81-2.84

Computed properties:
Energy ... -10.47 eV per atom
Magnetic moment ... 15.980 μB per formula unit


3.
Density functional theory data (PBE-GGA) for Pu4HRh4 after structural relaxation.

Lattice parameters (Å, degrees): 5.6372 8.8266 7.1572 88.57 71.66 90.62
Last column: nearest neighbours and their distance in Å.
Atoms (fractional coordinates):
Rh: 0.7966 0.2636 0.9361  6 Pu 2.80-3.06, 2 Rh 2.89-2.93, 1 H 2.92
Rh: 0.3785 0.9652 0.6456  1 H 1.73
Rh: 0.1503 0.0177 0.3201  7 Pu 2.83-3.14, 2 Rh 2.96-3.02
Rh: 0.3497 0.4823 0.1799  7 Pu 2.83-3.14, 2 Rh 2.96-3.02
Rh: 0.7054 0.7431 0.0618  7 Pu 2.83-3.14, 3 Rh 2.90-3.02
Rh: 0.7034 0.2364 0.5639  6 Pu 2.80-3.06, 2 Rh 2.89-2.93, 1 H 2.92
Rh: 0.7946 0.7569 0.4382  7 Pu 2.83-3.14, 3 Rh 2.90-3.02
Rh: 0.1215 0.5348 0.8544  1 H 1.73
Pu: 0.8201 0.9563 0.7428  1 H 2.27
Pu: 0.2150 0.7966 0.0294  1 H 2.35
Pu: 0.6856 0.0428 0.2401  7 Rh 2.80-3.03
Pu: 0.2108 0.2835 0.5231  1 H 2.27
Pu: 0.6799 0.5437 0.7572  1 H 2.27
Pu: 0.8144 0.4572 0.2599  7 Rh 2.80-3.03
Pu: 0.2850 0.7034 0.4706  1 H 2.35
Pu: 0.2892 0.2165 0.9769  1 H 2.27
H: 0.1441 0.0125 0.8560  1 Rh 1.73
H: 0.3559 0.4875 0.6440  1 Rh 1.73

Computed properties:
Energy ... -10.39 eV per atom
Magnetic moment ... 9.845 μB per formula unit


4.
Density functional theory data (PBE-GGA) for Pu2HRh after structural relaxation.

Lattice parameters (Å, degrees): 3.7600 3.7600 6.4508 73.06 73.06 60.00
Last column: nearest neighbours and their distance in Å.
Atoms (fractional coordinates):
H: 0.5000 0.5000 0.5000  6 Pu 2.52
Pu: 0.7629 0.7629 0.7114  3 H 2.52, 3 Rh 2.79
Pu: 0.2371 0.2371 0.2886  3 H 2.52, 3 Rh 2.79
Rh: 0.0000 0.0000 0.0000  6 Pu 2.79

Computed properties:
Energy ... -10.08 eV per atom
Magnetic moment ... 10.819 μB per formula unit
Excess energy over the best structure of this formula in the dataset ... 11 meV per atom


5.
Density functional theory data (PBE-GGA) for Pu2H8Rh after structural relaxation.

Lattice parameters (Å, degrees): 3.7730 4.5069 6.2186 111.25 107.66 90.00
Last column: nearest neighbours and their distance in Å.
Atoms (fractional coordinates):
Pu: 0.1652 0.6652 0.3304  10 H 2.23-2.35
Pu: 0.8348 0.3348 0.6696  10 H 2.23-2.35
H: 0.2260 0.2260 0.4519  2 H 2.03, 2 Pu 2.23
H: 0.3737 0.1030 0.7475  1 Rh 1.73
H: 0.6263 0.8970 0.2525  1 Rh 1.73
H: 0.0000 0.8004 0.0000  1 H 1.80
H: 0.3737 0.6445 0.7475  1 Rh 1.73
H: 0.0000 0.1996 0.0000  1 H 1.80
H: 0.7740 0.7740 0.5481  2 H 2.03, 2 Pu 2.23
H: 0.6263 0.3555 0.2525  1 Rh 1.73
Rh: 0.5000 0.0000 0.0000  4 H 1.73

Computed properties:
Energy ... -5.95 eV per atom
Magnetic moment ... 10.897 μB per formula unit


6.
Density functional theory data (PBE-GGA) for PuH12Rh6 after structural relaxation.

Lattice parameters (Å, degrees): 5.5715 5.5715 5.5715 103.86 103.86 103.86
Last column: nearest neighbours and their distance in Å.
Atoms (fractional coordinates):
Rh: 0.7351 0.4116 0.8188  6 H 1.76-1.88
Rh: 0.8188 0.7351 0.4116  6 H 1.76-1.88
Rh: 0.4116 0.8188 0.7351  6 H 1.76-1.88
Rh: 0.5884 0.1812 0.2649  6 H 1.76-1.88
Rh: 0.2649 0.5884 0.1812  6 H 1.76-1.88
Rh: 0.1812 0.2649 0.5884  6 H 1.76-1.88
H: 0.6316 0.1439 0.9488  3 Rh 1.80-1.85
H: 0.1439 0.9488 0.6316  3 Rh 1.80-1.85
H: 0.8561 0.0512 0.3684  3 Rh 1.80-1.85
H: 0.3684 0.8561 0.0512  3 Rh 1.80-1.85
H: 0.4666 0.5472 0.8205  3 Rh 1.76-1.88
H: 0.0512 0.3684 0.8561  3 Rh 1.80-1.85
H: 0.9488 0.6316 0.1439  3 Rh 1.80-1.85
H: 0.4528 0.1795 0.5334  3 Rh 1.76-1.88
H: 0.1795 0.5334 0.4528  3 Rh 1.76-1.88
H: 0.5472 0.8205 0.4666  3 Rh 1.76-1.88
H: 0.5334 0.4528 0.1795  3 Rh 1.76-1.88
H: 0.8205 0.4666 0.5472  3 Rh 1.76-1.88
Pu: 0.0000 0.0000 0.0000  6 H 2.36

Computed properties:
Energy ... -5.29 eV per atom
Magnetic moment ... 4.405 μB per formula unit


Q: energy of number 2 (Pu3HRh2)?
A: -10.47 eV per atom


Q: Which value of energy does entry 3 give?
A: -10.39 eV per atom


Q: What is the magnetic moment in the fifth record?
A: 10.897 μB per formula unit


Q: What is the formula in the second record?
A: Pu3HRh2